NaMnP2F after structural relaxation, computed with PBE with a Hubbard U.

Computed properties:
Its total energy is -4.366 eV per atom. The calculated volume is 27.8 Å³/atom. As for the crystal system: tetragonal.

Cell lengths 4.3280, 4.3280, 7.4272 Å; angles 90.00, 90.00, 90.00 degrees
Space group P4/mmm (No. 123)
Symmetry-distinct sites (fractional):
Na 0.0000 0.0000 0.0000
Mn 0.0000 0.0000 0.5000
P 0.0000 0.5000 0.5000
F 0.5000 0.5000 0.0000